P) # Li2GaHg2 PBE optimized geometry
data_Li2GaHg2
_cell_length_a 7.632
_cell_length_b 7.632
_cell_length_c 3.274
_cell_angle_alpha 90.00
_cell_angle_beta 90.00
_cell_angle_gamma 90.00
_space_group_name_H-M_alt 'P 4/m b m'
_space_group_IT_number 127
_space_group_name_Hall '-P 4 2ab'
loop_
_atom_site_label
_atom_site_type_symbol
_atom_site_fract_x
_atom_site_fract_y
_atom_site_fract_z
_atom_site_occupancy
Li1 Li 0.140 0.360 0.000 1
Ga1 Ga 0.000 0.000 0.000 1
Hg1 Hg 0.155 0.655 0.500 1
# Crystal system: tetragonal
# Fermi-level density of states: 1.97 states/eV/f.u.

Q) # Li2GaHg2 PBE optimized geometry
data_Li2GaHg2
_cell_length_a 5.516
_cell_length_b 13.512
_cell_length_c 5.417
_cell_angle_alpha 90.00
_cell_angle_beta 90.00
_cell_angle_gamma 90.00
_space_group_name_H-M_alt 'I b a m'
_space_group_IT_number 72
_space_group_name_Hall '-I 2 2c'
loop_
_atom_site_label
_atom_site_type_symbol
_atom_site_fract_x
_atom_site_fract_y
_atom_site_fract_z
_atom_site_occupancy
Li1 Li 0.159 0.178 0.000 1
Ga1 Ga 0.000 0.000 0.250 1
Hg1 Hg 0.140 0.382 0.000 1
# Crystal system: orthorhombic
# Fermi-level density of states: 1.66 states/eV/f.u.

R) # Li2GaHg2 PBE optimized geometry
data_Li2GaHg2
_cell_length_a 7.637
_cell_length_b 7.637
_cell_length_c 3.323
_cell_angle_alpha 90.00
_cell_angle_beta 90.00
_cell_angle_gamma 90.00
_space_group_name_H-M_alt 'P 4/m b m'
_space_group_IT_number 127
_space_group_name_Hall '-P 4 2ab'
loop_
_atom_site_label
_atom_site_type_symbol
_atom_site_fract_x
_atom_site_fract_y
_atom_site_fract_z
_atom_site_occupancy
Li1 Li 0.158 0.342 0.000 1
Ga1 Ga 0.000 0.000 0.500 1
Hg1 Hg 0.142 0.642 0.500 1
# Crystal system: tetragonal
# Fermi-level density of states: 1.85 states/eV/f.u.

S) # Li2GaHg2 PBE optimized geometry
data_Li2GaHg2
_cell_length_a 3.856
_cell_length_b 3.856
_cell_length_c 13.907
_cell_angle_alpha 90.00
_cell_angle_beta 90.00
_cell_angle_gamma 90.00
_space_group_name_H-M_alt 'I 4/m m m'
_space_group_IT_number 139
_space_group_name_Hall '-I 4 2'
loop_
_atom_site_label
_atom_site_type_symbol
_atom_site_fract_x
_atom_site_fract_y
_atom_site_fract_z
_atom_site_occupancy
Li1 Li 0.000 0.500 0.250 1
Ga1 Ga 0.000 0.000 0.000 1
Hg1 Hg 0.000 0.000 0.391 1
# Crystal system: tetragonal
# Fermi-level density of states: 1.68 states/eV/f.u.

Unit: meV per atom. Relative energies: P) 33; Q) 20; R) 0; S) 117.

P) # Li6Ga3Hg PBE optimized geometry
data_Li6Ga3Hg
_cell_length_a 6.867
_cell_length_b 6.444
_cell_length_c 9.754
_cell_angle_alpha 90.00
_cell_angle_beta 126.84
_cell_angle_gamma 90.00
_space_group_name_H-M_alt 'P 1 21/c 1'
_space_group_IT_number 14
loop_
_space_group_symop_operation_xyz
'x,y,z'
'-x,-y,-z'
'-x,y+1/2,-z+1/2'
'x,-y+1/2,z+1/2'
loop_
_atom_site_label
_atom_site_type_symbol
_atom_site_fract_x
_atom_site_fract_y
_atom_site_fract_z
_atom_site_occupancy
Li1 Li 0.016 0.155 0.310 1
Li2 Li 0.276 0.181 0.690 1
Li3 Li 0.388 0.595 0.843 1
Ga1 Ga 0.000 0.000 0.000 1
Ga2 Ga 0.236 0.682 0.034 1
Hg1 Hg 0.500 0.000 0.000 1
# Crystal system: monoclinic
# Fermi-level density of states: 1.82 states/eV/f.u.

Q) # Li6Ga3Hg PBE optimized geometry
data_Li6Ga3Hg
_cell_length_a 7.850
_cell_length_b 4.527
_cell_length_c 9.907
_cell_angle_alpha 90.00
_cell_angle_beta 110.18
_cell_angle_gamma 90.00
_space_group_name_H-M_alt 'P 1 21/m 1'
_space_group_IT_number 11
loop_
_space_group_symop_operation_xyz
'x,y,z'
'-x,-y,-z'
'-x,y+1/2,-z'
'x,-y+1/2,z'
loop_
_atom_site_label
_atom_site_type_symbol
_atom_site_fract_x
_atom_site_fract_y
_atom_site_fract_z
_atom_site_occupancy
Li1 Li 0.001 0.250 0.348 1
Li2 Li 0.017 0.750 0.162 1
Li3 Li 0.206 0.250 0.125 1
Li4 Li 0.216 0.750 0.482 1
Li5 Li 0.403 0.250 0.941 1
Li6 Li 0.431 0.750 0.264 1
Ga1 Ga 0.191 0.250 0.652 1
Ga2 Ga 0.199 0.750 0.958 1
Ga3 Ga 0.383 0.750 0.775 1
Hg1 Hg 0.375 0.250 0.414 1
# Crystal system: monoclinic
# Fermi-level density of states: 2.35 states/eV/f.u.

Unit: meV per atom. Relative energies: P) 51; Q) 0.

P) # Li6Ga2Hg PBE optimized geometry
data_Li6Ga2Hg
_cell_length_a 7.8132
_cell_length_b 7.8132
_cell_length_c 8.1947
_cell_angle_alpha 90.00
_cell_angle_beta 90.00
_cell_angle_gamma 120.00
_space_group_name_H-M_alt 'R -3 m'
_space_group_IT_number 166
_space_group_name_Hall '-R 3 2"'
loop_
_atom_site_label
_atom_site_type_symbol
_atom_site_fract_x
_atom_site_fract_y
_atom_site_fract_z
_atom_site_occupancy
Li1 Li 0.0000 0.3317 0.0000 1
Ga1 Ga 0.0000 0.0000 0.1616 1
Hg1 Hg 0.0000 0.0000 0.5000 1
# Crystal system: trigonal
# Fermi-level density of states: 3.31 states/eV/f.u.

Q) # Li6Ga2Hg PBE optimized geometry
data_Li6Ga2Hg
_cell_length_a 7.007
_cell_length_b 7.007
_cell_length_c 8.524
_cell_angle_alpha 90.00
_cell_angle_beta 90.00
_cell_angle_gamma 90.00
_space_group_name_H-M_alt 'P 42/m n m'
_space_group_IT_number 136
_space_group_name_Hall '-P 4n 2n'
loop_
_atom_site_label
_atom_site_type_symbol
_atom_site_fract_x
_atom_site_fract_y
_atom_site_fract_z
_atom_site_occupancy
Li1 Li 0.231 0.231 0.000 1
Li2 Li 0.237 0.237 0.328 1
Ga1 Ga 0.000 0.000 0.163 1
Hg1 Hg 0.000 0.000 0.500 1
# Crystal system: tetragonal
# Fermi-level density of states: 3.42 states/eV/f.u.

Unit: meV per atom. Relative energies: P) 0; Q) 225.

P) # LiGaHg3 PBE optimized geometry
data_LiGaHg3
_cell_length_a 3.593
_cell_length_b 7.495
_cell_length_c 8.394
_cell_angle_alpha 101.91
_cell_angle_beta 100.87
_cell_angle_gamma 91.59
_space_group_name_H-M_alt 'P -1'
_space_group_IT_number 2
loop_
_space_group_symop_operation_xyz
'x,y,z'
'-x,-y,-z'
loop_
_atom_site_label
_atom_site_type_symbol
_atom_site_fract_x
_atom_site_fract_y
_atom_site_fract_z
_atom_site_occupancy
Li1 Li 0.008 0.260 0.021 1
Ga1 Ga 0.192 0.861 0.410 1
Hg1 Hg 0.193 0.339 0.386 1
Hg2 Hg 0.411 0.428 0.808 1
Hg3 Hg 0.417 0.986 0.816 1
# Crystal system: triclinic
# Fermi-level density of states: 1.30 states/eV/f.u.

Q) # LiGaHg3 PBE optimized geometry
data_LiGaHg3
_cell_length_a 5.289
_cell_length_b 5.289
_cell_length_c 5.289
_cell_angle_alpha 90.00
_cell_angle_beta 90.00
_cell_angle_gamma 90.00
_space_group_name_H-M_alt 'P m -3 m'
_space_group_IT_number 221
_space_group_name_Hall '-P 4 2 3'
loop_
_atom_site_label
_atom_site_type_symbol
_atom_site_fract_x
_atom_site_fract_y
_atom_site_fract_z
_atom_site_occupancy
Li1 Li 0.000 0.000 0.000 1
Ga1 Ga 0.500 0.500 0.500 1
Hg1 Hg 0.000 0.500 0.500 1
# Crystal system: cubic
# Fermi-level density of states: 2.26 states/eV/f.u.

R) # LiGaHg3 PBE optimized geometry
data_LiGaHg3
_cell_length_a 3.182
_cell_length_b 6.350
_cell_length_c 11.367
_cell_angle_alpha 90.65
_cell_angle_beta 92.84
_cell_angle_gamma 101.27
_space_group_name_H-M_alt 'P -1'
_space_group_IT_number 2
loop_
_space_group_symop_operation_xyz
'x,y,z'
'-x,-y,-z'
loop_
_atom_site_label
_atom_site_type_symbol
_atom_site_fract_x
_atom_site_fract_y
_atom_site_fract_z
_atom_site_occupancy
Li1 Li 0.026 0.054 0.321 1
Ga1 Ga 0.299 0.494 0.694 1
Hg1 Hg 0.103 0.318 0.097 1
Hg2 Hg 0.372 0.756 0.489 1
Hg3 Hg 0.448 0.846 0.139 1
# Crystal system: triclinic
# Fermi-level density of states: 1.51 states/eV/f.u.

Unit: meV per atom. Relative energies: P) 0; Q) 226; R) 24.

P) # Li2Ga2Hg PBE optimized geometry
data_Li2Ga2Hg
_cell_length_a 7.264
_cell_length_b 7.264
_cell_length_c 3.407
_cell_angle_alpha 90.00
_cell_angle_beta 90.00
_cell_angle_gamma 90.00
_space_group_name_H-M_alt 'P 4/m b m'
_space_group_IT_number 127
_space_group_name_Hall '-P 4 2ab'
loop_
_atom_site_label
_atom_site_type_symbol
_atom_site_fract_x
_atom_site_fract_y
_atom_site_fract_z
_atom_site_occupancy
Li1 Li 0.150 0.350 0.000 1
Ga1 Ga 0.147 0.647 0.500 1
Hg1 Hg 0.000 0.000 0.000 1
# Crystal system: tetragonal
# Fermi-level density of states: 1.57 states/eV/f.u.

Q) # Li2Ga2Hg PBE optimized geometry
data_Li2Ga2Hg
_cell_length_a 7.526
_cell_length_b 7.526
_cell_length_c 3.124
_cell_angle_alpha 90.00
_cell_angle_beta 90.00
_cell_angle_gamma 90.00
_space_group_name_H-M_alt 'P 4/m b m'
_space_group_IT_number 127
_space_group_name_Hall '-P 4 2ab'
loop_
_atom_site_label
_atom_site_type_symbol
_atom_site_fract_x
_atom_site_fract_y
_atom_site_fract_z
_atom_site_occupancy
Li1 Li 0.177 0.323 0.000 1
Ga1 Ga 0.123 0.623 0.500 1
Hg1 Hg 0.000 0.000 0.500 1
# Crystal system: tetragonal
# Fermi-level density of states: 1.29 states/eV/f.u.

R) # Li2Ga2Hg PBE optimized geometry
data_Li2Ga2Hg
_cell_length_a 9.624
_cell_length_b 5.405
_cell_length_c 7.297
_cell_angle_alpha 90.00
_cell_angle_beta 111.80
_cell_angle_gamma 90.00
_space_group_name_H-M_alt 'C 1 2/c 1'
_space_group_IT_number 15
loop_
_space_group_symop_operation_xyz
'x,y,z'
'-x,-y,-z'
'-x,y,-z+1/2'
'x,-y,z+1/2'
'x+1/2,y+1/2,z'
'-x+1/2,-y+1/2,-z'
'-x+1/2,y+1/2,-z+1/2'
'x+1/2,-y+1/2,z+1/2'
loop_
_atom_site_label
_atom_site_type_symbol
_atom_site_fract_x
_atom_site_fract_y
_atom_site_fract_z
_atom_site_occupancy
Li1 Li 0.193 0.138 0.148 1
Ga1 Ga 0.104 0.330 0.448 1
Hg1 Hg 0.000 0.191 0.750 1
# Crystal system: monoclinic
# Fermi-level density of states: 1.37 states/eV/f.u.

Unit: meV per atom. Relative energies: P) 97; Q) 20; R) 0.

P) # Li2Ga2Hg PBE optimized geometry
data_Li2Ga2Hg
_cell_length_a 3.833
_cell_length_b 3.833
_cell_length_c 13.031
_cell_angle_alpha 90.00
_cell_angle_beta 90.00
_cell_angle_gamma 90.00
_space_group_name_H-M_alt 'I 4/m m m'
_space_group_IT_number 139
_space_group_name_Hall '-I 4 2'
loop_
_atom_site_label
_atom_site_type_symbol
_atom_site_fract_x
_atom_site_fract_y
_atom_site_fract_z
_atom_site_occupancy
Li1 Li 0.000 0.500 0.250 1
Ga1 Ga 0.000 0.000 0.099 1
Hg1 Hg 0.000 0.000 0.500 1
# Crystal system: tetragonal
# Fermi-level density of states: 1.42 states/eV/f.u.

Q) # Li2Ga2Hg PBE optimized geometry
data_Li2Ga2Hg
_cell_length_a 10.011
_cell_length_b 4.521
_cell_length_c 8.851
_cell_angle_alpha 90.00
_cell_angle_beta 108.54
_cell_angle_gamma 90.00
_space_group_name_H-M_alt 'C 1 2/m 1'
_space_group_IT_number 12
loop_
_space_group_symop_operation_xyz
'x,y,z'
'-x,-y,-z'
'-x,y,-z'
'x,-y,z'
'x+1/2,y+1/2,z'
'-x+1/2,-y+1/2,-z'
'-x+1/2,y+1/2,-z'
'x+1/2,-y+1/2,z'
loop_
_atom_site_label
_atom_site_type_symbol
_atom_site_fract_x
_atom_site_fract_y
_atom_site_fract_z
_atom_site_occupancy
Li1 Li 0.066 0.000 0.363 1
Li2 Li 0.164 0.000 0.071 1
Ga1 Ga 0.038 0.500 0.877 1
Ga2 Ga 0.114 0.500 0.620 1
Hg1 Hg 0.235 0.500 0.306 1
# Crystal system: monoclinic
# Fermi-level density of states: 1.07 states/eV/f.u.

Unit: meV per atom. Relative energies: P) 144; Q) 0.

P) # Li6GaHg2 PBE optimized geometry
data_Li6GaHg2
_cell_length_a 3.053
_cell_length_b 13.625
_cell_length_c 7.865
_cell_angle_alpha 90.00
_cell_angle_beta 90.00
_cell_angle_gamma 90.00
_space_group_name_H-M_alt 'A m m 2'
_space_group_IT_number 38
loop_
_space_group_symop_operation_xyz
'x,y,z'
'-x,-y,z'
'-x,y,z'
'x,-y,z'
'x,y+1/2,z+1/2'
'-x,-y+1/2,z+1/2'
'-x,y+1/2,z+1/2'
'x,-y+1/2,z+1/2'
loop_
_atom_site_label
_atom_site_type_symbol
_atom_site_fract_x
_atom_site_fract_y
_atom_site_fract_z
_atom_site_occupancy
Li1 Li 0.000 0.000 0.000 1
Li2 Li 0.000 0.143 0.571 1
Li3 Li 0.500 0.000 0.353 1
Li4 Li 0.500 0.181 0.895 1
Ga1 Ga 0.500 0.000 0.714 1
Hg1 Hg 0.000 0.166 0.214 1
# Crystal system: orthorhombic
# Fermi-level density of states: 4.53 states/eV/f.u.

Q) # Li6GaHg2 PBE optimized geometry
data_Li6GaHg2
_cell_length_a 4.5760
_cell_length_b 4.5760
_cell_length_c 28.3601
_cell_angle_alpha 90.00
_cell_angle_beta 90.00
_cell_angle_gamma 120.00
_space_group_name_H-M_alt 'R -3 m'
_space_group_IT_number 166
_space_group_name_Hall '-R 3 2"'
loop_
_atom_site_label
_atom_site_type_symbol
_atom_site_fract_x
_atom_site_fract_y
_atom_site_fract_z
_atom_site_occupancy
Li1 Li 0.0000 0.0000 0.0984 1
Li2 Li 0.0000 0.0000 0.1964 1
Li3 Li 0.0000 0.0000 0.3058 1
Ga1 Ga 0.0000 0.0000 0.5000 1
Hg1 Hg 0.0000 0.0000 0.4039 1
# Crystal system: trigonal
# Fermi-level density of states: 5.42 states/eV/f.u.

Unit: meV per atom. Relative energies: P) 0; Q) 31.

P) # Li4GaHg2 PBE optimized geometry
data_Li4GaHg2
_cell_length_a 14.397
_cell_length_b 2.978
_cell_length_c 7.275
_cell_angle_alpha 90.00
_cell_angle_beta 119.64
_cell_angle_gamma 90.00
_space_group_name_H-M_alt 'C 1 2/m 1'
_space_group_IT_number 12
loop_
_space_group_symop_operation_xyz
'x,y,z'
'-x,-y,-z'
'-x,y,-z'
'x,-y,z'
'x+1/2,y+1/2,z'
'-x+1/2,-y+1/2,-z'
'-x+1/2,y+1/2,-z'
'x+1/2,-y+1/2,z'
loop_
_atom_site_label
_atom_site_type_symbol
_atom_site_fract_x
_atom_site_fract_y
_atom_site_fract_z
_atom_site_occupancy
Li1 Li 0.085 0.000 0.231 1
Li2 Li 0.128 0.500 0.879 1
Ga1 Ga 0.000 0.000 0.500 1
Hg1 Hg 0.232 0.000 0.690 1
# Crystal system: monoclinic
# Fermi-level density of states: 2.22 states/eV/f.u.

Q) # Li4GaHg2 PBE optimized geometry
data_Li4GaHg2
_cell_length_a 4.5803
_cell_length_b 4.5803
_cell_length_c 21.5257
_cell_angle_alpha 90.00
_cell_angle_beta 90.00
_cell_angle_gamma 120.00
_space_group_name_H-M_alt 'R -3 m'
_space_group_IT_number 166
_space_group_name_Hall '-R 3 2"'
loop_
_atom_site_label
_atom_site_type_symbol
_atom_site_fract_x
_atom_site_fract_y
_atom_site_fract_z
_atom_site_occupancy
Li1 Li 0.0000 0.0000 0.1090 1
Li2 Li 0.0000 0.0000 0.3688 1
Ga1 Ga 0.0000 0.0000 0.5000 1
Hg1 Hg 0.0000 0.0000 0.2402 1
# Crystal system: trigonal
# Fermi-level density of states: 1.42 states/eV/f.u.

Unit: meV per atom. Relative energies: P) 91; Q) 0.